Record 1
Entry from the Alexandria database: an optimized crystal structure of Ho12Os3N5 (GGA-PBE).

Properties
The formation energy from raw total energies comes out at -0.814 eV/atom.

Cell and atoms, written as CIF:
```
data_Ho12Os3N5
_chemical_formula_sum 'Ho96 Os24 N40'
_cell_length_a 15.0679
_cell_length_b 15.0679
_cell_length_c 15.0679
_cell_angle_alpha 90.00
_cell_angle_beta 90.00
_cell_angle_gamma 90.00
_symmetry_space_group_name_H-M 'I a -3 d'
_symmetry_Int_Tables_number 230
_symmetry_space_group_name_Hall '-I 4bd 2c 3'
loop_
_atom_site_label
_atom_site_type_symbol
_atom_site_fract_x
_atom_site_fract_y
_atom_site_fract_z
Ho1 Ho 0.0291 0.0544 0.6519
Os1 Os 0.0000 0.2500 0.1250
N1 N 0.0000 0.0000 0.0000
N2 N 0.0000 0.2500 0.3750
```



Record 2
Entry from the Alexandria database: an optimized crystal structure of Pu2Ge3Pt4Pb (GGA-PBE).

Properties
The uncorrected energy comes out at -7.601 eV/atom.

Cell and atoms, written as CIF:
```
data_Pu2Ge3Pt4Pb
_chemical_formula_sum 'Pu2 Ge3 Pt4 Pb1'
_cell_length_a 4.2588
_cell_length_b 4.2588
_cell_length_c 11.2096
_cell_angle_alpha 90.00
_cell_angle_beta 90.00
_cell_angle_gamma 90.00
_symmetry_space_group_name_H-M 'P -4 m 2'
_symmetry_Int_Tables_number 115
loop_
_symmetry_equiv_pos_as_xyz
'x,y,z'
'y,-x,-z'
'-x,-y,z'
'-y,x,-z'
'-x,y,z'
'-y,-x,-z'
'x,-y,z'
'y,x,-z'
loop_
_atom_site_label
_atom_site_type_symbol
_atom_site_fract_x
_atom_site_fract_y
_atom_site_fract_z
Pu1 Pu 0.0000 0.5000 0.2347
Ge1 Ge 0.0000 0.5000 0.8750
Ge2 Ge 0.5000 0.5000 0.5000
Pt1 Pt 0.0000 0.0000 0.0000
Pt2 Pt 0.0000 0.5000 0.6590
Pt3 Pt 0.5000 0.5000 0.0000
Pb1 Pb 0.0000 0.0000 0.5000
```



Record 3
Entry from the Alexandria database: an optimized crystal structure of ZnHgH3 (GGA-PBE).

Properties
The relative energy among the computed polymorphs comes out at 0.649 eV per formula unit.

Cell and atoms, written as CIF:
```
data_ZnHgH3
_chemical_formula_sum 'Zn1 Hg1 H3'
_cell_length_a 3.9174
_cell_length_b 3.9174
_cell_length_c 3.9174
_cell_angle_alpha 90.00
_cell_angle_beta 90.00
_cell_angle_gamma 90.00
_symmetry_space_group_name_H-M 'P m -3 m'
_symmetry_Int_Tables_number 221
_symmetry_space_group_name_Hall '-P 4 2 3'
loop_
_atom_site_label
_atom_site_type_symbol
_atom_site_fract_x
_atom_site_fract_y
_atom_site_fract_z
Zn1 Zn 0.0000 0.0000 0.0000
Hg1 Hg 0.5000 0.5000 0.5000
H1 H 0.0000 0.5000 0.5000
```